KRb2ErI6 (PBE, relaxed); energy relative to the elements, uncorrected = -1.464 eV per atom; DFT total energy = -63.07 eV per cell; SG = P2_1/c, No. 14
1.0
8.595 0.000 0.030
0.000 9.141 0.000
0.117 0.000 12.325
Rb I K Er
4 12 2 2
Cartesian
4.046 3.807 3.065 Rb
8.402 0.764 9.242 Rb
0.310 8.377 3.112 Rb
4.666 5.335 9.290 Rb
6.252 2.942 11.672 I
1.111 4.242 9.493 I
6.815 7.512 6.860 I
5.809 2.549 6.959 I
7.601 4.899 2.861 I
2.459 6.199 0.683 I
7.258 7.120 11.573 I
5.350 0.328 3.346 I
1.453 2.021 0.782 I
2.903 6.592 5.396 I
3.362 8.813 9.009 I
1.896 1.629 5.495 I
0.058 4.571 6.163 K
4.297 0.000 0.015 K
4.356 0.000 6.177 Er
0.000 4.571 0.000 Er


KErSnI6 (PBE, relaxed); energy relative to the elements, uncorrected = -1.118 eV per atom; DFT total energy = -29.03 eV per cell; SG = P312, No. 149
1.0
8.034 0.001 0.000
4.017 6.957 -0.001
0.000 -0.001 7.736
I K Er Sn
6 1 1 1
Cartesian
5.382 4.360 2.103 I
5.102 0.117 2.103 I
2.653 4.360 5.632 I
6.467 2.480 5.633 I
1.567 2.480 2.103 I
2.931 0.117 5.633 I
8.033 0.001 0.000 K
4.017 2.319 3.868 Er
8.034 4.638 3.868 Sn